## Rb2ReTeF6 (PBE-GGA)

Data for crystalline Rb2ReTeF6 at its relaxed geometry.

a b c (Å): 6.8530 6.8530 7.1844
angles (deg): 61.51 61.51 90.00
Last column: nearest neighbours and their distance in Å.
Element x y z (fractional)
Te1 0.5000 0.5000 0.0000  4 F 2.87
F1 0.2042 0.7958 0.0000  1 Re 1.98
F2 0.8132 0.8132 0.3736  1 Re 1.98
F3 0.2042 0.2042 0.0000  1 Re 1.98
F4 0.1868 0.1868 0.6264  1 Re 1.98
F5 0.7958 0.2042 0.0000  1 Re 1.98
F6 0.7958 0.7958 0.0000  1 Re 1.98
Rb1 0.2500 0.7500 0.5000  12 F 3.49-3.62
Rb2 0.7500 0.2500 0.5000  12 F 3.49-3.62
Re1 0.0000 0.0000 0.0000  6 F 1.98

**SG**: I4/mmm, No. 139
**Formation energy (no corrections)**: -1.922 eV/atom
**Theoretical density**: 3991 kg/m³
**Volume**: 24.910 Å³ per atom